VASP calculation (PBE) on a relaxed structure of MnSi3H.

abc: 3.7464 3.7464 3.7464
angles: 90.00 90.00 90.00
Space group Pm-3m (No. 221)
Unique sites:
Mn: 0.0000 0.0000 0.0000 x1
Si: 0.0000 0.5000 0.5000 x3
H: 0.5000 0.5000 0.5000 x1

Summary:
Density of states at the Fermi level (states/eV/atom): 0.785
Crystal system: cubic
Excess energy over the best structure of this formula in the dataset (eV per atom): 0.1351
Spin magnetization (μB/f.u.): 0.000